1.
Compound: K2Os2O5
Source: the Open Quantum Materials Database
Functional: GGA-PBE
Structure: optimized geometry

Properties
total moment: 2.63 μB per formula unit
energy: -5.73 eV per atom

Cell: 3.3108 3.3108 11.3609 Å, 90.00 90.00 90.00°
Space group P4/mmm (No. 123)
Unique sites:
K (0.0000, 0.0000, 0.2317) (multiplicity 2)
Os (0.5000, 0.5000, 0.0000) (multiplicity 1)
Os (0.5000, 0.5000, 0.5000) (multiplicity 1)
O (0.0000, 0.0000, 0.0000) (multiplicity 1)
O (0.0000, 0.5000, 0.4000) (multiplicity 4)



2.
Compound: K2OsO5
Source: the Open Quantum Materials Database
Functional: GGA-PBE
Structure: optimized geometry

Properties
total moment: 0.00 μB per formula unit
energy: -6.13 eV per atom

Cell: 10.5336 10.5336 8.0217 Å, 90.00 90.00 120.00°
Space group P-6 (No. 174)
Unique sites:
K (0.0000, 0.0000, 0.2472) (multiplicity 2)
K (0.0278, 0.7095, 0.5000) (multiplicity 3)
K (0.3333, 0.6667, 0.2492) (multiplicity 2)
K (0.3755, 0.0233, 0.0000) (multiplicity 3)
K (0.6667, 0.3333, 0.2506) (multiplicity 2)
Os (0.0261, 0.7128, 0.0000) (multiplicity 3)
Os (0.3816, 0.0281, 0.5000) (multiplicity 3)
O (0.1110, 0.8047, 0.1899) (multiplicity 6)
O (0.1396, 0.6276, 0.0000) (multiplicity 3)
O (0.1700, 0.4747, 0.5000) (multiplicity 3)
O (0.1962, 0.1136, 0.0000) (multiplicity 3)
O (0.2035, 0.0120, 0.5000) (multiplicity 3)
O (0.4628, 0.3233, 0.0000) (multiplicity 3)
O (0.4694, 0.2273, 0.5000) (multiplicity 3)
O (0.4729, 0.0374, 0.3089) (multiplicity 6)



3.
Compound: K2OsO4
Source: the Open Quantum Materials Database
Functional: GGA-PBE
Structure: optimized geometry

Properties
total moment: 0.00 μB per formula unit
energy: -6.11 eV per atom

Cell: 8.7216 8.7477 7.6125 Å, 90.00 90.00 90.00°
Space group Fmm2 (No. 42)
Unique sites:
K (0.2500, 0.2500, 0.0000) (multiplicity 8)
Os (0.0000, 0.0000, 0.2506) (multiplicity 4)
O (0.0000, 0.1968, 0.1830) (multiplicity 8)
O (0.1973, 0.0000, 0.3183) (multiplicity 8)



4.
Compound: K2Os2O5
Source: the Open Quantum Materials Database
Functional: GGA-PBE
Structure: optimized geometry

Properties
total moment: 0.01 μB per formula unit
energy: -6.52 eV per atom

Cell: 3.8194 3.8194 8.4939 Å, 90.00 90.00 90.00°
Space group P4/mmm (No. 123)
Unique sites:
K (0.0000, 0.0000, 0.0000) (multiplicity 1)
K (0.0000, 0.0000, 0.5000) (multiplicity 1)
Os (0.5000, 0.5000, 0.2489) (multiplicity 2)
O (0.0000, 0.5000, 0.2610) (multiplicity 4)
O (0.5000, 0.5000, 0.0000) (multiplicity 1)



5.
Compound: K2OsO3
Source: the Open Quantum Materials Database
Functional: GGA-PBE
Structure: optimized geometry

Properties
total moment: 1.34 μB per formula unit
energy: -5.76 eV per atom

Cell: 9.9027 6.8521 6.0502 Å, 90.00 90.00 90.00°
Space group Cmcm (No. 63)
Unique sites:
K (0.1719, 0.1425, 0.2500) (multiplicity 8)
Os (0.0000, 0.4299, 0.7500) (multiplicity 4)
O (0.0000, 0.1539, 0.7500) (multiplicity 4)
O (0.1243, 0.5000, 0.0000) (multiplicity 8)



6.
Compound: K2OsPbO6
Source: the Open Quantum Materials Database
Functional: GGA-PBE
Structure: optimized geometry

Properties
total moment: 0.00 μB per formula unit
energy: -5.92 eV per atom

Cell: 6.0691 6.0691 14.2324 Å, 90.00 90.00 120.00°
Space group R3 (No. 146, hexagonal axes)
Unique sites:
K (0.0000, 0.0000, 0.0000) (multiplicity 3)
K (0.0000, 0.0000, 0.4982) (multiplicity 3)
Os (0.0000, 0.0000, 0.2489) (multiplicity 3)
Pb (0.0000, 0.0000, 0.7494) (multiplicity 3)
O (0.0529, 0.5961, 0.9910) (multiplicity 9)
O (0.1230, 0.3871, 0.8399) (multiplicity 9)



7.
Compound: K2Os2Pb2O7
Source: the Open Quantum Materials Database
Functional: GGA-PBE
Structure: optimized geometry

Properties
total moment: 0.31 μB per formula unit
energy: -6.09 eV per atom

Cell: 5.9380 5.9380 6.9771 Å, 90.00 90.00 120.00°
Space group P-3 (No. 147)
Unique sites:
K (0.3333, 0.6667, 0.4069) (multiplicity 2)
Os (0.0000, 0.0000, 0.2962) (multiplicity 2)
Pb (0.3333, 0.6667, 0.9314) (multiplicity 2)
O (0.0000, 0.0000, 0.0000) (multiplicity 1)
O (0.1222, 0.7699, 0.6971) (multiplicity 6)



8.
Compound: KRbOsO3
Source: the Open Quantum Materials Database
Functional: GGA-PBE
Structure: optimized geometry

Properties
total moment: 2.00 μB per formula unit
energy: -5.97 eV per atom

Cell: 6.4417 6.4417 7.2381 Å, 90.00 90.00 120.00°
Space group P321 (No. 150)
Unique sites:
K (0.0000, 0.0000, 0.0000) (multiplicity 1)
K (0.0000, 0.0000, 0.5000) (multiplicity 1)
Rb (0.3333, 0.6667, 0.2433) (multiplicity 2)
Os (0.3333, 0.6667, 0.7462) (multiplicity 2)
O (0.1287, 0.3491, 0.7487) (multiplicity 6)



9.
Compound: KSbOs2O8
Source: the Open Quantum Materials Database
Functional: GGA-PBE
Structure: optimized geometry

Properties
total moment: 2.36 μB per formula unit
energy: -6.56 eV per atom

Cell: 5.0290 5.0290 8.3319 Å, 90.00 90.00 120.00°
Space group P-3 (No. 147)
Unique sites:
K (0.0000, 0.0000, 0.0000) (multiplicity 1)
Sb (0.0000, 0.0000, 0.5000) (multiplicity 1)
Os (0.3333, 0.6667, 0.7587) (multiplicity 2)
O (0.0052, 0.3393, 0.6618) (multiplicity 6)
O (0.3333, 0.6667, 0.9694) (multiplicity 2)



10.
Compound: KOsSeO
Source: the Open Quantum Materials Database
Functional: GGA-PBE
Structure: optimized geometry

Properties
total moment: 0.00 μB per formula unit
energy: -5.63 eV per atom

Cell: 7.3584 6.2996 6.5597 Å, 90.00 107.94 90.00°
Space group P2_1/c (No. 14)
Unique sites:
K (0.0978, 0.2493, 0.0387) (multiplicity 4)
Os (0.4757, 0.6141, 0.7605) (multiplicity 4)
Se (0.2922, 0.6146, 0.3732) (multiplicity 4)
O (0.3753, 0.1344, 0.3899) (multiplicity 4)



11.
Compound: KOsSeO
Source: the Open Quantum Materials Database
Functional: GGA-PBE
Structure: optimized geometry

Properties
total moment: 0.01 μB per formula unit
energy: -5.56 eV per atom

Cell: 5.4045 5.0235 13.6237 Å, 90.00 94.37 90.00°
Space group P2_1 (No. 4)
Unique sites:
K (0.1573, 0.0000, 0.1709) (multiplicity 2)
K (0.3201, 0.9698, 0.8503) (multiplicity 2)
Os (0.1058, 0.1663, 0.5852) (multiplicity 2)
Os (0.4109, 0.7956, 0.5953) (multiplicity 2)
Se (0.2199, 0.5100, 0.3165) (multiplicity 2)
Se (0.3297, 0.4538, 0.7163) (multiplicity 2)
O (0.1094, 0.5549, 0.5342) (multiplicity 2)
O (0.3830, 0.0855, 0.4889) (multiplicity 2)



12.
Compound: KOsSeO
Source: the Open Quantum Materials Database
Functional: GGA-PBE
Structure: optimized geometry

Properties
total moment: 0.00 μB per formula unit
energy: -5.70 eV per atom

Cell: 4.1917 7.1063 6.5199 Å, 90.00 90.00 90.00°
Space group Pmc2_1 (No. 26)
Unique sites:
K (0.0000, 0.1935, 0.0000) (multiplicity 2)
Os (0.5000, 0.4162, 0.4097) (multiplicity 2)
Se (0.0000, 0.2719, 0.4992) (multiplicity 2)
O (0.5000, 0.3890, 0.1167) (multiplicity 2)